A plane-wave DFT calculation with PBE was carried out for a relaxed structure of Pr4CuRh3.

The structure in CIF format:
```
data_Pr4CuRh3
_space_group_name_H-M_alt 'P m m 2'
_space_group_IT_number 25
_cell_length_a 3.973
_cell_length_b 4.404
_cell_length_c 10.919
_cell_angle_alpha 90.00
_cell_angle_beta 90.00
_cell_angle_gamma 90.00
loop_
_space_group_symop_operation_xyz
'x,y,z'
'-x,-y,z'
'-x,y,z'
'x,-y,z'
loop_
_atom_site_label
_atom_site_fract_x
_atom_site_fract_y
_atom_site_fract_z
Pr1 0.000 0.000 0.000
Pr2 0.000 0.500 0.272
Pr3 0.500 0.000 0.490
Pr4 0.500 0.500 0.772
Cu1 0.000 0.000 0.705
Rh1 0.000 0.500 0.561
Rh2 0.500 0.000 0.222
Rh3 0.500 0.500 0.040
```

Output
total DFT energy (no corrections): -49.738 eV per cell
E_form: -0.559 eV per atom
mass density: 8.13 g cm⁻³

***

A plane-wave DFT calculation with PBE was carried out for a relaxed structure of Pr2Cu2Rh.

The structure in CIF format:
```
data_Pr2Cu2Rh
_space_group_name_H-M_alt 'C 1 2/m 1'
_space_group_IT_number 12
_cell_length_a 10.730
_cell_length_b 4.117
_cell_length_c 11.404
_cell_angle_alpha 90.00
_cell_angle_beta 117.25
_cell_angle_gamma 90.00
loop_
_space_group_symop_operation_xyz
'x,y,z'
'-x,-y,-z'
'-x,y,-z'
'x,-y,z'
'x+1/2,y+1/2,z'
'-x+1/2,-y+1/2,-z'
'-x+1/2,y+1/2,-z'
'x+1/2,-y+1/2,z'
loop_
_atom_site_label
_atom_site_fract_x
_atom_site_fract_y
_atom_site_fract_z
Pr1 0.056 0.000 0.358
Pr2 0.202 0.000 0.116
Cu1 0.014 0.500 0.892
Cu2 0.123 0.500 0.578
Rh1 0.230 0.500 0.312
```

Output
total DFT energy (no corrections): -107.424 eV per cell
E_form: -0.351 eV per atom
mass density: 7.59 g cm⁻³

***

A plane-wave DFT calculation with PBE was carried out for a relaxed structure of PrCuRh4.

The structure in CIF format:
```
data_PrCuRh4
_space_group_name_H-M_alt 'F -4 3 m'
_space_group_IT_number 216
_space_group_name_Hall 'F -4 2 3'
_cell_length_a 7.470
_cell_length_b 7.470
_cell_length_c 7.470
_cell_angle_alpha 90.00
_cell_angle_beta 90.00
_cell_angle_gamma 90.00
loop_
_atom_site_label
_atom_site_fract_x
_atom_site_fract_y
_atom_site_fract_z
Pr1 0.000 0.000 0.000
Cu1 0.250 0.250 0.750
Rh1 0.124 0.124 0.376
```

Output
total DFT energy (no corrections): -157.145 eV per cell
E_form: -0.167 eV per atom
mass density: 9.82 g cm⁻³

***

A plane-wave DFT calculation with PBE was carried out for a relaxed structure of Pr2Cu5Rh5.

The structure in CIF format:
```
data_Pr2Cu5Rh5
_space_group_name_H-M_alt 'P m m m'
_space_group_IT_number 47
_cell_length_a 4.104
_cell_length_b 5.371
_cell_length_c 9.042
_cell_angle_alpha 90.00
_cell_angle_beta 90.00
_cell_angle_gamma 90.00
loop_
_space_group_symop_operation_xyz
'x,y,z'
'-x,-y,-z'
'-x,-y,z'
'x,y,-z'
'x,-y,-z'
'-x,y,z'
'-x,y,-z'
'x,-y,z'
loop_
_atom_site_label
_atom_site_fract_x
_atom_site_fract_y
_atom_site_fract_z
Pr1 0.000 0.000 0.000
Pr2 0.000 0.500 0.500
Cu1 0.000 0.000 0.333
Cu2 0.000 0.500 0.163
Cu3 0.500 0.500 0.000
Rh1 0.500 0.000 0.500
Rh2 0.500 0.252 0.246
```

Output
total DFT energy (no corrections): -70.505 eV per cell
E_form: -0.309 eV per atom
mass density: 9.28 g cm⁻³

***

A plane-wave DFT calculation with PBE was carried out for a relaxed structure of Pr4Cu3Rh.

The structure in CIF format:
```
data_Pr4Cu3Rh
_space_group_name_H-M_alt 'P m m 2'
_space_group_IT_number 25
_cell_length_a 3.963
_cell_length_b 4.519
_cell_length_c 10.825
_cell_angle_alpha 90.00
_cell_angle_beta 90.00
_cell_angle_gamma 90.00
loop_
_space_group_symop_operation_xyz
'x,y,z'
'-x,-y,z'
'-x,y,z'
'x,-y,z'
loop_
_atom_site_label
_atom_site_fract_x
_atom_site_fract_y
_atom_site_fract_z
Pr1 0.000 0.000 0.000
Pr2 0.000 0.500 0.271
Pr3 0.500 0.000 0.487
Pr4 0.500 0.500 0.774
Cu1 0.000 0.000 0.697
Cu2 0.000 0.500 0.566
Cu3 0.500 0.500 0.063
Rh1 0.500 0.000 0.214
```

Output
total DFT energy (no corrections): -41.198 eV per cell
E_form: -0.305 eV per atom
mass density: 7.34 g cm⁻³

***

A plane-wave DFT calculation with PBE was carried out for a relaxed structure of PrCuRh.

The structure in CIF format:
```
data_PrCuRh
_space_group_name_H-M_alt 'I 4 m m'
_space_group_IT_number 107
_space_group_name_Hall 'I 4 -2'
_cell_length_a 3.514
_cell_length_b 3.514
_cell_length_c 9.506
_cell_angle_alpha 90.00
_cell_angle_beta 90.00
_cell_angle_gamma 90.00
loop_
_atom_site_label
_atom_site_fract_x
_atom_site_fract_y
_atom_site_fract_z
Pr1 0.000 0.000 0.000
Cu1 0.000 0.000 0.697
Rh1 0.000 0.000 0.312
```

Output
total DFT energy (no corrections): -33.829 eV per cell
E_form: -0.229 eV per atom
energy above the lowest structure with this stoichiometry: 0.66 eV/f.u.
mass density: 8.70 g cm⁻³

***

A plane-wave DFT calculation with PBE was carried out for a relaxed structure of PrCuRh.

The structure in CIF format:
```
data_PrCuRh
_space_group_name_H-M_alt 'P -6 m 2'
_space_group_IT_number 187
_space_group_name_Hall 'P -6 2'
_cell_length_a 4.2981
_cell_length_b 4.2981
_cell_length_c 3.9106
_cell_angle_alpha 90.00
_cell_angle_beta 90.00
_cell_angle_gamma 120.00
loop_
_atom_site_label
_atom_site_fract_x
_atom_site_fract_y
_atom_site_fract_z
Pr1 0.0000 0.0000 0.0000
Cu1 0.3333 0.6667 0.5000
Rh1 0.6667 0.3333 0.5000
```

Output
total DFT energy (no corrections): -17.413 eV per cell
E_form: -0.395 eV per atom
energy above the lowest structure with this stoichiometry: 0.16 eV/f.u.
mass density: 8.16 g cm⁻³

***

A plane-wave DFT calculation with PBE was carried out for a relaxed structure of Pr3Cu4Rh2.

The structure in CIF format:
```
data_Pr3Cu4Rh2
_space_group_name_H-M_alt 'C 1 2/m 1'
_space_group_IT_number 12
_cell_length_a 10.817
_cell_length_b 4.279
_cell_length_c 8.429
_cell_angle_alpha 90.00
_cell_angle_beta 108.03
_cell_angle_gamma 90.00
loop_
_space_group_symop_operation_xyz
'x,y,z'
'-x,-y,-z'
'-x,y,-z'
'x,-y,z'
'x+1/2,y+1/2,z'
'-x+1/2,-y+1/2,-z'
'-x+1/2,y+1/2,-z'
'x+1/2,-y+1/2,z'
loop_
_atom_site_label
_atom_site_fract_x
_atom_site_fract_y
_atom_site_fract_z
Pr1 0.000 0.000 0.000
Pr2 0.176 0.500 0.655
Cu1 0.042 0.000 0.382
Cu2 0.224 0.500 0.052
Rh1 0.109 0.500 0.271
```

Output
total DFT energy (no corrections): -97.303 eV per cell
E_form: -0.358 eV per atom
mass density: 7.90 g cm⁻³

***

A plane-wave DFT calculation with PBE was carried out for a relaxed structure of PrCu2Rh.

The structure in CIF format:
```
data_PrCu2Rh
_space_group_name_H-M_alt 'R -3 m'
_space_group_IT_number 166
_space_group_name_Hall '-R 3 2"'
_cell_length_a 4.3186
_cell_length_b 4.3186
_cell_length_c 14.0756
_cell_angle_alpha 90.00
_cell_angle_beta 90.00
_cell_angle_gamma 120.00
loop_
_atom_site_label
_atom_site_fract_x
_atom_site_fract_y
_atom_site_fract_z
Pr1 0.0000 0.0000 0.0000
Cu1 0.0000 0.0000 0.2021
Rh1 0.0000 0.0000 0.5000
```

Output
total DFT energy (no corrections): -63.704 eV per cell
E_form: -0.228 eV per atom
mass density: 8.13 g cm⁻³

***

A plane-wave DFT calculation with PBE was carried out for a relaxed structure of Pr3Cu3Rh2.

The structure in CIF format:
```
data_Pr3Cu3Rh2
_space_group_name_H-M_alt 'C m c m'
_space_group_IT_number 63
_space_group_name_Hall '-C 2c 2'
_cell_length_a 4.182
_cell_length_b 10.716
_cell_length_c 15.650
_cell_angle_alpha 90.00
_cell_angle_beta 90.00
_cell_angle_gamma 90.00
loop_
_atom_site_label
_atom_site_fract_x
_atom_site_fract_y
_atom_site_fract_z
Pr1 0.000 0.100 0.250
Pr2 0.000 0.370 0.087
Cu1 0.000 0.082 0.053
Cu2 0.000 0.183 0.750
Rh1 0.000 0.325 0.619
```

Output
total DFT energy (no corrections): -177.734 eV per cell
E_form: -0.388 eV per atom
mass density: 7.76 g cm⁻³

***

A plane-wave DFT calculation with PBE was carried out for a relaxed structure of PrCu10Rh2.

The structure in CIF format:
```
data_PrCu10Rh2
_space_group_name_H-M_alt 'F m m m'
_space_group_IT_number 69
_space_group_name_Hall '-F 2 2'
_cell_length_a 5.056
_cell_length_b 11.950
_cell_length_c 12.309
_cell_angle_alpha 90.00
_cell_angle_beta 90.00
_cell_angle_gamma 90.00
loop_
_atom_site_label
_atom_site_fract_x
_atom_site_fract_y
_atom_site_fract_z
Pr1 0.000 0.000 0.000
Cu1 0.000 0.111 0.381
Cu2 0.000 0.177 0.178
Cu3 0.250 0.000 0.250
Rh1 0.250 0.250 0.000
```

Output
total DFT energy (no corrections): -245.055 eV per cell
E_form: -0.063 eV per atom
mass density: 8.77 g cm⁻³

***

A plane-wave DFT calculation with PBE was carried out for a relaxed structure of Pr5Cu5Rh2.

The structure in CIF format:
```
data_Pr5Cu5Rh2
_space_group_name_H-M_alt 'C 1 2/m 1'
_space_group_IT_number 12
_cell_length_a 15.299
_cell_length_b 4.197
_cell_length_c 11.402
_cell_angle_alpha 90.00
_cell_angle_beta 131.91
_cell_angle_gamma 90.00
loop_
_space_group_symop_operation_xyz
'x,y,z'
'-x,-y,-z'
'-x,y,-z'
'x,-y,z'
'x+1/2,y+1/2,z'
'-x+1/2,-y+1/2,-z'
'-x+1/2,y+1/2,-z'
'x+1/2,-y+1/2,z'
loop_
_atom_site_label
_atom_site_fract_x
_atom_site_fract_y
_atom_site_fract_z
Pr1 0.000 0.000 0.000
Pr2 0.112 0.000 0.416
Pr3 0.202 0.000 0.823
Cu1 0.000 0.500 0.500
Cu2 0.063 0.500 0.844
Cu3 0.227 0.500 0.665
Rh1 0.147 0.500 0.257
```

Output
total DFT energy (no corrections): -125.145 eV per cell
E_form: -0.291 eV per atom
mass density: 7.48 g cm⁻³